The following is a PBE+U calculation of a relaxed Li3VCr3O8 crystal, from the Alexandria database.

Results
ΔE to the lowest computed polymorph (eV per atom): 0.026
E (eV per atom): -7.027
Crystal system: trigonal

abc: 5.9751 5.9751 5.9751
angles: 59.60 59.60 59.60
Last column: magnetic moment on the atom in μB.
Positions (direct):
Cr: 0.5000 0.0000 0.5000  3.01
O: 0.2321 0.7510 0.2321  -0.05
O: 0.2490 0.7679 0.7679  -0.05
V: 0.0000 0.0000 0.0000  1.12
Li: 0.0000 0.0000 0.5000  -0.01
O: 0.7679 0.2490 0.7679  -0.05
Li: 0.5000 0.0000 0.0000  -0.01
O: 0.2593 0.2593 0.2593  -0.03
O: 0.7679 0.7679 0.2490  -0.05
Cr: 0.5000 0.5000 0.0000  3.01
O: 0.7407 0.7407 0.7407  -0.03
O: 0.7510 0.2321 0.2321  -0.05
Li: 0.0000 0.5000 0.0000  -0.01
Cr: 0.0000 0.5000 0.5000  3.01
O: 0.2321 0.2321 0.7510  -0.05